Entry 1
This record from the Alexandria database describes a relaxed structure of HoEr2Rh2. The functional is GGA-PBE.

Calculated values
As for the total moment: 0.00 μB per formula unit. Its crystal system is orthorhombic.

CIF file:
```
data_HoEr2Rh2
_symmetry_space_group_name_H-M 'P 1'
_symmetry_Int_Tables_number 1
_symmetry_space_group_name_Hall 'P 1'
_cell_length_a 13.194
_cell_length_b 13.194
_cell_length_c 4.590
_cell_angle_alpha 90.00
_cell_angle_beta 90.00
_cell_angle_gamma 163.59
loop_
_atom_site_label
_atom_site_type_symbol
_atom_site_fract_x
_atom_site_fract_y
_atom_site_fract_z
_atom_site_occupancy
Ho1 Ho 0.137 0.863 0.750 1
Ho2 Ho 0.863 0.137 0.250 1
Er1 Er 0.235 0.765 0.250 1
Er2 Er 0.448 0.552 0.750 1
Er3 Er 0.552 0.448 0.250 1
Er4 Er 0.765 0.235 0.750 1
Rh1 Rh 0.033 0.967 0.750 1
Rh2 Rh 0.339 0.661 0.750 1
Rh3 Rh 0.661 0.339 0.250 1
Rh4 Rh 0.967 0.033 0.250 1
```


Entry 2
This record from the Alexandria database describes a relaxed structure of HoEr2Rh2. The functional is GGA-PBE.

Calculated values
As for the total moment: 0.00 μB per formula unit. Its crystal system is orthorhombic.

CIF file:
```
data_HoEr2Rh2
_symmetry_space_group_name_H-M 'P 1'
_symmetry_Int_Tables_number 1
_symmetry_space_group_name_Hall 'P 1'
_cell_length_a 8.610
_cell_length_b 8.610
_cell_length_c 7.202
_cell_angle_alpha 90.00
_cell_angle_beta 90.00
_cell_angle_gamma 153.72
loop_
_atom_site_label
_atom_site_type_symbol
_atom_site_fract_x
_atom_site_fract_y
_atom_site_fract_z
_atom_site_occupancy
Ho1 Ho 0.122 0.878 0.500 1
Ho2 Ho 0.878 0.122 0.000 1
Er1 Er 0.311 0.689 0.385 1
Er2 Er 0.469 0.531 0.667 1
Er3 Er 0.531 0.469 0.167 1
Er4 Er 0.689 0.311 0.885 1
Rh1 Rh 0.054 0.946 0.868 1
Rh2 Rh 0.305 0.695 0.787 1
Rh3 Rh 0.695 0.305 0.287 1
Rh4 Rh 0.946 0.054 0.368 1
```


Preferred: entry 2; penalty for the next structure: 1.3 kJ/mol of atoms.


Entry 1
This record from the Alexandria database describes a relaxed structure of HoEr3Rh8. The functional is GGA-PBE.

Calculated values
As for the total moment: 0.00 μB per formula unit. Its crystal system is trigonal.

CIF file:
```
data_HoEr3Rh8
_symmetry_space_group_name_H-M 'P 1'
_symmetry_Int_Tables_number 1
_symmetry_space_group_name_Hall 'P 1'
_cell_length_a 9.206
_cell_length_b 9.206
_cell_length_c 9.206
_cell_angle_alpha 33.58
_cell_angle_beta 33.58
_cell_angle_gamma 33.58
loop_
_atom_site_label
_atom_site_type_symbol
_atom_site_fract_x
_atom_site_fract_y
_atom_site_fract_z
_atom_site_occupancy
Ho1 Ho 0.000 0.000 0.000 1
Er1 Er 0.125 0.125 0.125 1
Er2 Er 0.500 0.500 0.500 1
Er3 Er 0.625 0.625 0.625 1
Rh1 Rh 0.063 0.063 0.562 1
Rh2 Rh 0.063 0.562 0.063 1
Rh3 Rh 0.063 0.563 0.563 1
Rh4 Rh 0.313 0.313 0.313 1
Rh5 Rh 0.562 0.063 0.063 1
Rh6 Rh 0.563 0.063 0.563 1
Rh7 Rh 0.563 0.563 0.063 1
Rh8 Rh 0.813 0.813 0.813 1
```


Entry 2
This record from the Alexandria database describes a relaxed structure of HoEr3Rh8. The functional is GGA-PBE.

Calculated values
As for the total moment: 0.00 μB per formula unit. Its crystal system is trigonal.

CIF file:
```
data_HoEr3Rh8
_symmetry_space_group_name_H-M 'P 1'
_symmetry_Int_Tables_number 1
_symmetry_space_group_name_Hall 'P 1'
_cell_length_a 5.316
_cell_length_b 5.316
_cell_length_c 8.689
_cell_angle_alpha 90.00
_cell_angle_beta 90.00
_cell_angle_gamma 120.00
loop_
_atom_site_label
_atom_site_type_symbol
_atom_site_fract_x
_atom_site_fract_y
_atom_site_fract_z
_atom_site_occupancy
Ho1 Ho 0.000 0.000 0.000 1
Er1 Er 0.000 0.000 0.367 1
Er2 Er 0.667 0.333 0.500 1
Er3 Er 0.667 0.333 0.867 1
Rh1 Rh 0.164 0.328 0.683 1
Rh2 Rh 0.164 0.836 0.683 1
Rh3 Rh 0.333 0.667 0.433 1
Rh4 Rh 0.333 0.667 0.933 1
Rh5 Rh 0.503 0.005 0.184 1
Rh6 Rh 0.503 0.497 0.184 1
Rh7 Rh 0.672 0.836 0.683 1
Rh8 Rh 0.995 0.497 0.184 1
```


Preferred: entry 1; penalty for the next structure: 2.3 kJ/mol of atoms.


Entry 1
This record from the Alexandria database describes a relaxed structure of Ho3ErRh2. The functional is GGA-PBE.

Calculated values
As for the total moment: 0.00 μB per formula unit. Its crystal system is orthorhombic.

CIF file:
```
data_Ho3ErRh2
_symmetry_space_group_name_H-M 'P 1'
_symmetry_Int_Tables_number 1
_symmetry_space_group_name_Hall 'P 1'
_cell_length_a 8.301
_cell_length_b 8.301
_cell_length_c 8.301
_cell_angle_alpha 132.70
_cell_angle_beta 71.43
_cell_angle_gamma 129.82
loop_
_atom_site_label
_atom_site_type_symbol
_atom_site_fract_x
_atom_site_fract_y
_atom_site_fract_z
_atom_site_occupancy
Ho1 Ho 0.019 0.750 0.269 1
Ho2 Ho 0.250 0.250 0.000 1
Ho3 Ho 0.481 0.750 0.731 1
Ho4 Ho 0.519 0.250 0.269 1
Ho5 Ho 0.750 0.750 0.000 1
Ho6 Ho 0.981 0.250 0.731 1
Er1 Er 0.000 0.500 0.500 1
Er2 Er 0.500 0.000 0.500 1
Rh1 Rh 0.138 0.212 0.350 1
Rh2 Rh 0.362 0.712 0.074 1
Rh3 Rh 0.638 0.288 0.926 1
Rh4 Rh 0.862 0.788 0.650 1
```


Entry 2
This record from the Alexandria database describes a relaxed structure of Ho3ErRh2. The functional is GGA-PBE.

Calculated values
As for the total moment: 0.00 μB per formula unit. Its crystal system is orthorhombic.

CIF file:
```
data_Ho3ErRh2
_symmetry_space_group_name_H-M 'P 1'
_symmetry_Int_Tables_number 1
_symmetry_space_group_name_Hall 'P 1'
_cell_length_a 4.655
_cell_length_b 8.663
_cell_length_c 7.130
_cell_angle_alpha 90.00
_cell_angle_beta 90.00
_cell_angle_gamma 90.00
loop_
_atom_site_label
_atom_site_type_symbol
_atom_site_fract_x
_atom_site_fract_y
_atom_site_fract_z
_atom_site_occupancy
Ho1 Ho 0.000 0.086 0.000 1
Ho2 Ho 0.000 0.332 0.370 1
Ho3 Ho 0.000 0.668 0.870 1
Ho4 Ho 0.000 0.914 0.500 1
Ho5 Ho 0.500 0.168 0.653 1
Ho6 Ho 0.500 0.832 0.153 1
Er1 Er 0.500 0.415 0.024 1
Er2 Er 0.500 0.585 0.524 1
Rh1 Rh 0.000 0.341 0.770 1
Rh2 Rh 0.000 0.659 0.270 1
Rh3 Rh 0.500 0.160 0.254 1
Rh4 Rh 0.500 0.840 0.754 1
```


Preferred: entry 2; penalty for the next structure: 8.2 kJ/mol of atoms.


Entry 1
This record from the Alexandria database describes a relaxed structure of HoErTlRh. The functional is GGA-PBE.

Calculated values
As for the total moment: 0.00 μB per formula unit. Its crystal system is tetragonal.

CIF file:
```
data_HoErTlRh
_symmetry_space_group_name_H-M 'P 1'
_symmetry_Int_Tables_number 1
_symmetry_space_group_name_Hall 'P 1'
_cell_length_a 3.515
_cell_length_b 3.515
_cell_length_c 7.555
_cell_angle_alpha 90.00
_cell_angle_beta 90.00
_cell_angle_gamma 90.00
loop_
_atom_site_label
_atom_site_type_symbol
_atom_site_fract_x
_atom_site_fract_y
_atom_site_fract_z
_atom_site_occupancy
Ho1 Ho 0.000 0.000 0.000 1
Er1 Er 0.000 0.000 0.430 1
Tl1 Tl 0.500 0.500 0.714 1
Rh1 Rh 0.500 0.500 0.218 1
```


Entry 2
This record from the Alexandria database describes a relaxed structure of HoErTlRh. The functional is GGA-PBE.

Calculated values
As for the total moment: 0.00 μB per formula unit. Its crystal system is cubic.

CIF file:
```
data_HoErTlRh
_symmetry_space_group_name_H-M 'P 1'
_symmetry_Int_Tables_number 1
_symmetry_space_group_name_Hall 'P 1'
_cell_length_a 5.081
_cell_length_b 5.081
_cell_length_c 5.081
_cell_angle_alpha 60.00
_cell_angle_beta 60.00
_cell_angle_gamma 60.00
loop_
_atom_site_label
_atom_site_type_symbol
_atom_site_fract_x
_atom_site_fract_y
_atom_site_fract_z
_atom_site_occupancy
Ho1 Ho 0.000 0.000 0.000 1
Er1 Er 0.500 0.500 0.500 1
Tl1 Tl 0.250 0.250 0.250 1
Rh1 Rh 0.750 0.750 0.750 1
```


Preferred: entry 1; penalty for the next structure: 11.8 kJ/mol of atoms.


Entry 1
This record from the Alexandria database describes a relaxed structure of Ho3ErRu. The functional is GGA-PBE.

Calculated values
As for the total moment: 0.00 μB per formula unit. Its crystal system is cubic.

CIF file:
```
data_Ho3ErRu
_symmetry_space_group_name_H-M 'P 1'
_symmetry_Int_Tables_number 1
_symmetry_space_group_name_Hall 'P 1'
_cell_length_a 5.355
_cell_length_b 5.355
_cell_length_c 5.355
_cell_angle_alpha 90.00
_cell_angle_beta 90.00
_cell_angle_gamma 90.00
loop_
_atom_site_label
_atom_site_type_symbol
_atom_site_fract_x
_atom_site_fract_y
_atom_site_fract_z
_atom_site_occupancy
Ho1 Ho 0.000 0.000 0.500 1
Ho2 Ho 0.000 0.500 0.000 1
Ho3 Ho 0.500 0.000 0.000 1
Er1 Er 0.500 0.500 0.500 1
Ru1 Ru 0.000 0.000 0.000 1
```


Entry 2
This record from the Alexandria database describes a relaxed structure of Ho3ErRu. The functional is GGA-PBE.

Calculated values
As for the total moment: 0.00 μB per formula unit. Its crystal system is monoclinic.

CIF file:
```
data_Ho3ErRu
_symmetry_space_group_name_H-M 'P 1'
_symmetry_Int_Tables_number 1
_symmetry_space_group_name_Hall 'P 1'
_cell_length_a 6.260
_cell_length_b 6.260
_cell_length_c 12.662
_cell_angle_alpha 111.59
_cell_angle_beta 111.59
_cell_angle_gamma 36.30
loop_
_atom_site_label
_atom_site_type_symbol
_atom_site_fract_x
_atom_site_fract_y
_atom_site_fract_z
_atom_site_occupancy
Ho1 Ho 0.000 0.000 0.000 1
Ho2 Ho 0.030 0.030 0.379 1
Ho3 Ho 0.336 0.336 0.763 1
Ho4 Ho 0.368 0.368 0.141 1
Ho5 Ho 0.692 0.692 0.234 1
Ho6 Ho 0.804 0.804 0.518 1
Er1 Er 0.561 0.561 0.624 1
Er2 Er 0.675 0.675 0.907 1
Ru1 Ru 0.003 0.003 0.762 1
Ru2 Ru 0.364 0.364 0.383 1
```


Preferred: entry 2; penalty for the next structure: 17.6 kJ/mol of atoms.